{
  "formula": "TaBe4Au5",
  "functional": "GGA-PBE",
  "state": "optimized geometry",
  "spacegroup": "P4/mmm, No. 123",
  "crystal_system": "tetragonal",
  "total_energy_ev_per_atom": -4.415,
  "lattice_angstrom": [[2.969, 0.000, 0.000], [0.000, 2.969, 0.000], [0.000, 0.000, 15.875]],
  "species": ["Ta", "Be", "Be", "Be", "Be", "Au", "Au", "Au", "Au", "Au"],
  "fractional_positions": [[0.000, 0.000, 0.000], [0.000, 0.000, 0.221], [0.000, 0.000, 0.408], [0.000, 0.000, 0.592], [0.000, 0.000, 0.779], [0.500, 0.500, 0.128], [0.500, 0.500, 0.313], [0.500, 0.500, 0.500], [0.500, 0.500, 0.687], [0.500, 0.500, 0.872]]
}

***

{
  "formula": "TaBeAu",
  "functional": "GGA-PBE",
  "state": "optimized geometry",
  "spacegroup": "Pnma, No. 62",
  "crystal_system": "orthorhombic",
  "total_energy_ev_per_atom": -6.332,
  "lattice_angstrom": [[5.963, 0.000, 0.000], [0.000, 3.108, 0.000], [0.000, 0.000, 9.629]],
  "species": ["Ta", "Ta", "Ta", "Ta", "Be", "Be", "Be", "Be", "Au", "Au", "Au", "Au"],
  "fractional_positions": [[0.138, 0.250, 0.081], [0.362, 0.750, 0.581], [0.638, 0.250, 0.419], [0.862, 0.750, 0.919], [0.130, 0.250, 0.768], [0.370, 0.750, 0.268], [0.630, 0.250, 0.732], [0.870, 0.750, 0.232], [0.110, 0.250, 0.383], [0.390, 0.750, 0.883], [0.610, 0.250, 0.117], [0.890, 0.750, 0.617]]
}

***

{
  "formula": "TaBeAu",
  "functional": "GGA-PBE",
  "state": "optimized geometry",
  "spacegroup": "P1, No. 1",
  "crystal_system": "triclinic",
  "total_energy_ev_per_atom": -6.314,
  "lattice_angstrom": [[2.872, 0.000, 0.000], [1.426, 5.391, 0.000], [1.408, 1.253, 5.716]],
  "species": ["Ta", "Ta", "Be", "Be", "Au", "Au"],
  "fractional_positions": [[0.000, 0.000, 0.000], [0.245, 0.048, 0.448], [0.280, 0.386, 0.054], [0.503, 0.291, 0.696], [0.568, 0.559, 0.307], [0.800, 0.639, 0.755]]
}

***

{
  "formula": "TaBeAu",
  "functional": "GGA-PBE",
  "state": "optimized geometry",
  "spacegroup": "C2/m, No. 12",
  "crystal_system": "monoclinic",
  "total_energy_ev_per_atom": -6.288,
  "lattice_angstrom": [[5.157, -1.552, 0.000], [5.157, 1.552, 0.000], [-1.873, 0.000, 5.594]],
  "species": ["Ta", "Ta", "Be", "Be", "Au", "Au"],
  "fractional_positions": [[0.168, 0.168, 0.319], [0.832, 0.832, 0.681], [0.500, 0.500, 0.000], [0.500, 0.500, 0.500], [0.133, 0.133, 0.815], [0.867, 0.867, 0.185]]
}

***

- What is the formula in the fourth record?
  TaBeAu